Compound: LaCe2Au
Source: Alexandria via LeMat-Bulk
Functional: PBE
Structure: optimized geometry

```
LaCe2Au
1.0
3.748 0.000 0.000
0.000 3.748 0.000
0.000 0.000 8.157
La Ce Au
1 2 1
direct
0.000 0.000 0.000
0.500 0.500 0.293
0.500 0.500 0.707
0.000 0.000 0.500
```

Summary:
E above lowest polymorph   0.000 eV/atom
Energy relative to the elements   -239.3 meV/atom